[1]
This record from Alexandria describes a relaxed CsSnHg2 crystal. The functional is PBE-GGA.

## Properties
V	133.34	Å³ per cell
N(E_F)	1.92	states/eV/cell
formation energy	-0.078	eV/atom

abc: 3.8252 3.8252 9.1130
angles: 90.00 90.00 90.00
With the nearest neighbours (Å) after each atom.
Fractional coordinates of all 4 atoms:
Cs 0.0000 0.0000 0.0000  8 Hg 3.82, 4 Cs 3.83
Sn 0.0000 0.0000 0.5000  8 Hg 3.28
Hg 0.5000 0.5000 0.2957  4 Sn 3.28
Hg 0.5000 0.5000 0.7043  4 Sn 3.28


[2]
This record from Alexandria describes a relaxed La7PmSm3 crystal. The functional is PBE-GGA.

## Properties
V	409.54	Å³ per cell
N(E_F)	17.34	states/eV/cell
formation energy	0.163	eV/atom

abc: 7.3444 7.3444 8.7675
angles: 90.00 90.00 120.00
With the nearest neighbours (Å) after each atom.
Fractional coordinates of all 11 atoms:
La 0.0000 0.0000 0.0000  9 La 3.61-3.68, 3 Sm 3.70
La 0.0028 0.5014 0.0222  2 Sm 3.55, 1 Pm 3.63, 8 La 3.64-3.74
La 0.1682 0.3364 0.6689  2 Sm 3.55, 7 La 3.61-3.74, 2 Pm 3.68
La 0.1682 0.8318 0.6689  2 Sm 3.55, 7 La 3.61-3.74, 2 Pm 3.68
La 0.4986 0.5014 0.0222  2 Sm 3.55, 1 Pm 3.63, 8 La 3.64-3.74
La 0.4986 0.9972 0.0222  2 Sm 3.55, 1 Pm 3.63, 8 La 3.64-3.74
La 0.6636 0.8318 0.6689  2 Sm 3.55, 7 La 3.61-3.74, 2 Pm 3.68
Pm 0.6667 0.3333 0.6878  9 La 3.63-3.68, 3 Sm 3.67
Sm 0.3334 0.1667 0.3455  5 La 3.55-3.70, 4 Sm 3.67, 1 Pm 3.67
Sm 0.8333 0.1667 0.3455  5 La 3.55-3.70, 4 Sm 3.67, 1 Pm 3.67
Sm 0.8333 0.6666 0.3455  5 La 3.55-3.70, 4 Sm 3.67, 1 Pm 3.67


[3]
This record from Alexandria describes a relaxed Li2Fe2Pd crystal. The functional is PBE-GGA.

## Properties
V	66.12	Å³ per cell
N(E_F)	3.63	states/eV/cell
formation energy	0.277	eV/atom
ΔE to the lowest computed polymorph	0.000	eV per atom

abc: 6.3175 6.3175 6.3175
angles: 149.15 149.15 44.19
With the nearest neighbours (Å) after each atom.
Fractional coordinates of all 5 atoms:
Li 0.0911 0.0911 0.0000  1 Li 2.13
Li 0.9089 0.9089 0.0000  1 Li 2.13
Fe 0.2500 0.7500 0.5000  4 Fe 2.38, 4 Li 2.51
Fe 0.7500 0.2500 0.5000  4 Fe 2.38, 4 Li 2.51
Pd 0.5000 0.5000 0.0000  8 Li 2.60


[4]
This record from Alexandria describes a relaxed Mg10Cd3Pb3 crystal. The functional is PBE-GGA.

## Properties
V	387.85	Å³ per cell
N(E_F)	6.36	states/eV/cell
formation energy	-0.029	eV/atom

abc: 8.5878 8.5878 6.0726
angles: 90.00 90.00 120.00
With the nearest neighbours (Å) after each atom.
Fractional coordinates of all 16 atoms:
Mg 0.0000 0.2305 0.0000  3 Cd 2.97-3.20
Mg 0.0000 0.7795 0.5000  3 Pb 3.02-3.22, 2 Mg 3.28
Mg 0.2205 0.2205 0.5000  3 Pb 3.02-3.22, 2 Mg 3.28
Mg 0.2305 0.0000 0.0000  3 Cd 2.97-3.20
Mg 0.3333 0.6667 0.2432  2 Mg 2.95-3.12, 3 Cd 3.02, 3 Pb 3.04
Mg 0.3333 0.6667 0.7568  2 Mg 2.95-3.12, 3 Cd 3.02, 3 Pb 3.04
Mg 0.6667 0.3333 0.2432  2 Mg 2.95-3.12, 3 Cd 3.02, 3 Pb 3.04
Mg 0.6667 0.3333 0.7568  2 Mg 2.95-3.12, 3 Cd 3.02, 3 Pb 3.04
Mg 0.7695 0.7695 0.0000  3 Cd 2.97-3.20
Mg 0.7795 0.0000 0.5000  3 Pb 3.02-3.22, 2 Mg 3.28
Cd 0.0000 0.6030 0.0000  7 Mg 2.97-3.20
Cd 0.3970 0.3970 0.0000  7 Mg 2.97-3.20
Cd 0.6030 0.0000 0.0000  7 Mg 2.97-3.20
Pb 0.0000 0.4049 0.5000  7 Mg 3.02-3.22
Pb 0.4049 0.0000 0.5000  7 Mg 3.02-3.22
Pb 0.5951 0.5951 0.5000  7 Mg 3.02-3.22


[5]
This record from Alexandria describes a relaxed ErLuIn2 crystal. The functional is PBE-GGA.

## Properties
V	102.64	Å³ per cell
N(E_F)	2.17	states/eV/cell
formation energy	-0.415	eV/atom

abc: 5.2817 5.2817 3.6793
angles: 90.00 90.00 90.00
With the nearest neighbours (Å) after each atom.
Fractional coordinates of all 4 atoms:
Er 0.0000 0.0000 0.0000  8 In 3.22
Lu 0.5000 0.5000 0.0000  8 In 3.22
In 0.0000 0.5000 0.5000  4 Er 3.22, 4 Lu 3.22
In 0.5000 0.0000 0.5000  4 Er 3.22, 4 Lu 3.22


[6]
This record from Alexandria describes a relaxed BaAlTeS2 crystal. The functional is PBE-GGA.

## Properties
V	261.97	Å³ per cell
N(E_F)	7.21	states/eV/cell
energy relative to the elements, uncorrected	0.590	eV per atom

abc: 5.6560 5.6560 8.1890
angles: 90.00 90.00 90.00
With the nearest neighbours (Å) after each atom.
Fractional coordinates of all 5 atoms:
Ba 0.0000 0.0000 0.0000  4 S 2.83
Al 0.0000 0.0000 0.5000  4 Te 4.00, 2 Ba 4.09
Te 0.5000 0.5000 0.5000  4 Al 4.00
S 0.0000 0.5000 0.0000  2 Ba 2.83
S 0.5000 0.0000 0.0000  2 Ba 2.83


[7]
This record from Alexandria describes a relaxed Ni2AsPt crystal. The functional is PBE-GGA.

## Properties
V	54.04	Å³ per cell
N(E_F)	2.99	states/eV/cell
formation energy	-0.109	eV/atom

abc: 4.3608 4.3608 4.4941
angles: 99.92 99.92 40.04
With the nearest neighbours (Å) after each atom.
Fractional coordinates of all 4 atoms:
Ni 0.0000 0.0000 0.0000  2 As 2.41, 3 Ni 2.49-2.53, 3 Pt 2.59-2.64
Ni 0.7416 0.7416 0.2159  3 As 2.42-2.53, 3 Ni 2.49-2.53, 2 Pt 2.67
As 0.4867 0.4867 0.4160  5 Ni 2.41-2.53, 1 Pt 2.58
Pt 0.2515 0.2515 0.7266  3 As 2.58-2.79, 7 Ni 2.59-2.73


[8]
This record from Alexandria describes a relaxed Ce2PmCl11 crystal. The functional is PBE-GGA.

## Properties
V	874.45	Å³ per cell
energy relative to the elements, uncorrected	-1.937	eV per atom

abc: 10.5834 10.5834 10.5834
angles: 122.58 106.11 100.60
With the nearest neighbours (Å) after each atom.
Fractional coordinates of all 28 atoms:
Ce 0.1827 0.1474 0.3301  7 Cl 2.60-2.86
Ce 0.3173 0.6474 0.9647  7 Cl 2.60-2.86
Ce 0.6827 0.3526 0.0353  7 Cl 2.60-2.86
Ce 0.8173 0.8526 0.6699  7 Cl 2.60-2.86
Pm 0.2500 0.7500 0.5000  8 Cl 2.87
Pm 0.7500 0.2500 0.5000  8 Cl 2.87
Cl 0.0000 0.0000 0.0000  2 Ce 2.77, 2 Cl 3.05
Cl 0.0349 0.4509 0.7783  1 Ce 2.68, 1 Pm 2.87
Cl 0.0679 0.8597 0.6540  1 Ce 2.69, 1 Pm 2.87
Cl 0.1726 0.9509 0.4160  1 Ce 2.68, 1 Pm 2.87
Cl 0.2057 0.4140 0.3461  1 Ce 2.69, 1 Pm 2.87
Cl 0.2157 0.8697 0.0854  2 Ce 2.60-2.86
Cl 0.2843 0.3697 0.6539  2 Ce 2.60-2.86
Cl 0.2943 0.6403 0.2082  1 Ce 2.69, 1 Pm 2.87
Cl 0.3274 0.7434 0.7783  1 Ce 2.68, 1 Pm 2.87
Cl 0.4321 0.0860 0.7918  1 Ce 2.69, 1 Pm 2.87
Cl 0.4651 0.2434 0.4160  1 Ce 2.68, 1 Pm 2.87
Cl 0.5000 0.5000 0.0000  2 Ce 2.77, 2 Cl 3.05
Cl 0.5349 0.7566 0.5840  1 Ce 2.68, 1 Pm 2.87
Cl 0.5679 0.9140 0.2082  1 Ce 2.69, 1 Pm 2.87
Cl 0.6726 0.2566 0.2217  1 Ce 2.68, 1 Pm 2.87
Cl 0.7057 0.3597 0.7918  1 Ce 2.69, 1 Pm 2.87
Cl 0.7157 0.6303 0.3461  2 Ce 2.60-2.86
Cl 0.7843 0.1303 0.9146  2 Ce 2.60-2.86
Cl 0.7943 0.5860 0.6540  1 Ce 2.69, 1 Pm 2.87
Cl 0.8274 0.0491 0.5840  1 Ce 2.68, 1 Pm 2.87
Cl 0.9321 0.1403 0.3461  1 Ce 2.69, 1 Pm 2.87
Cl 0.9651 0.5491 0.2217  1 Ce 2.68, 1 Pm 2.87


[9]
This record from Alexandria describes a relaxed TiFe2Sb8 crystal. The functional is PBE-GGA.

## Properties
V	267.84	Å³ per cell
N(E_F)	8.27	states/eV/cell
ΔE to the lowest computed polymorph	0.000	eV per atom
energy relative to the elements, uncorrected	0.056	eV per atom

abc: 6.5345 6.5345 7.6470
angles: 114.98 114.98 76.92
With the nearest neighbours (Å) after each atom.
Fractional coordinates of all 11 atoms:
Ti 0.0000 0.0000 0.0000  8 Sb 2.84-2.92, 2 Fe 3.07
Fe 0.1927 0.1927 0.4770  7 Sb 2.49-2.66
Fe 0.8073 0.8073 0.5230  7 Sb 2.49-2.66
Sb 0.1164 0.1164 0.7365  2 Fe 2.49-2.66
Sb 0.1869 0.6221 0.7211  2 Fe 2.63-2.64, 1 Ti 2.92
Sb 0.3287 0.3287 0.2664  1 Fe 2.64, 1 Ti 2.84
Sb 0.3779 0.8131 0.2789  2 Fe 2.63-2.64, 1 Ti 2.92
Sb 0.6221 0.1869 0.7211  2 Fe 2.63-2.64, 1 Ti 2.92
Sb 0.6713 0.6713 0.7336  1 Fe 2.64, 1 Ti 2.84
Sb 0.8131 0.3779 0.2789  2 Fe 2.63-2.64, 1 Ti 2.92
Sb 0.8836 0.8836 0.2635  2 Fe 2.49-2.66


[10]
This record from Alexandria describes a relaxed Cu3RhN crystal. The functional is PBE-GGA.

## Properties
V	57.48	Å³ per cell
N(E_F)	5.60	states/eV/cell
ΔE to the lowest computed polymorph	0.000	eV per atom
energy relative to the elements, uncorrected	0.321	eV per atom

abc: 3.8593 3.8593 3.8593
angles: 90.00 90.00 90.00
With the nearest neighbours (Å) after each atom.
Fractional coordinates of all 5 atoms:
Cu 0.0000 0.0000 0.5000  2 N 1.93
Cu 0.0000 0.5000 0.0000  2 N 1.93
Cu 0.5000 0.0000 0.0000  2 N 1.93
Rh 0.5000 0.5000 0.5000  12 Cu 2.73
N 0.0000 0.0000 0.0000  6 Cu 1.93


[11]
This record from Alexandria describes a relaxed SmPuRh crystal. The functional is PBE-GGA.

## Properties
V	72.49	Å³ per cell
N(E_F)	8.73	states/eV/cell
formation energy	-0.306	eV/atom
ΔE to the lowest computed polymorph	0.142	eV per atom

abc: 6.2059 6.2059 6.2059
angles: 146.51 146.51 48.10
With the nearest neighbours (Å) after each atom.
Fractional coordinates of all 3 atoms:
Sm 0.0000 0.0000 0.0000  4 Rh 3.09, 1 Pu 3.21
Pu 0.7168 0.7168 0.0000  4 Rh 2.91, 1 Sm 3.21
Rh 0.3430 0.3430 0.0000  4 Pu 2.91, 4 Sm 3.09


[12]
This record from Alexandria describes a relaxed ZnGa4Sn crystal. The functional is PBE-GGA.

## Properties
V	124.68	Å³ per cell
N(E_F)	3.32	states/eV/cell
formation energy	0.138	eV/atom
ΔE to the lowest computed polymorph	0.081	eV per atom

abc: 5.6075 5.6075 5.6075
angles: 60.00 60.00 60.00
With the nearest neighbours (Å) after each atom.
Fractional coordinates of all 6 atoms:
Zn 0.0000 0.0000 0.0000  12 Ga 3.29, 4 Sn 3.43
Ga 0.1234 0.6255 0.6255  6 Ga 2.79-2.82
Ga 0.6255 0.1234 0.6255  6 Ga 2.79-2.82
Ga 0.6255 0.6255 0.1234  6 Ga 2.79-2.82
Ga 0.6255 0.6255 0.6255  6 Ga 2.79-2.82
Sn 0.2500 0.2500 0.2500  12 Ga 3.29, 4 Zn 3.43


[13]
This record from Alexandria describes a relaxed Cr4InSb crystal. The functional is PBE-GGA.

## Properties
V	88.80	Å³ per cell
N(E_F)	5.83	states/eV/cell
energy relative to the elements, uncorrected	0.435	eV per atom

abc: 5.0078 5.0078 5.0078
angles: 60.00 60.00 60.00
With the nearest neighbours (Å) after each atom.
Fractional coordinates of all 6 atoms:
Cr 0.1243 0.1243 0.1243  6 Cr 2.49-2.52
Cr 0.1243 0.1243 0.6270  6 Cr 2.49-2.52
Cr 0.1243 0.6270 0.1243  6 Cr 2.49-2.52
Cr 0.6270 0.1243 0.1243  6 Cr 2.49-2.52
In 0.7500 0.7500 0.7500  12 Cr 2.93, 4 Sb 3.07
Sb 0.5000 0.5000 0.5000  12 Cr 2.94, 4 In 3.07


[14]
This record from Alexandria describes a relaxed MnSi2Te crystal. The functional is PBE-GGA.

## Properties
V	73.52	Å³ per cell
N(E_F)	1.97	states/eV/cell
energy relative to the elements, uncorrected	0.552	eV per atom

abc: 4.7079 4.7079 3.4855
angles: 90.00 90.00 107.89
With the nearest neighbours (Å) after each atom.
Fractional coordinates of all 4 atoms:
Mn 0.0000 0.0000 0.0000  2 Te 2.77, 8 Si 2.93
Si 0.0000 0.5000 0.5000  2 Si 2.77, 4 Mn 2.93, 4 Te 2.93
Si 0.5000 0.0000 0.5000  2 Si 2.77, 4 Mn 2.93, 4 Te 2.93
Te 0.5000 0.5000 0.0000  2 Mn 2.77, 8 Si 2.93


[15]
This record from Alexandria describes a relaxed Rb3SO crystal. The functional is PBE-GGA.

## Properties
V	248.59	Å³ per cell
N(E_F)	52.25	states/eV/cell
energy relative to the elements, uncorrected	-0.470	eV per atom

abc: 6.2878 6.2878 6.2878
angles: 90.00 90.00 90.00
With the nearest neighbours (Å) after each atom.
Fractional coordinates of all 5 atoms:
Rb 0.0000 0.0000 0.5000  2 S 3.14
Rb 0.0000 0.5000 0.0000  2 S 3.14
Rb 0.5000 0.0000 0.0000  2 S 3.14
S 0.0000 0.0000 0.0000  6 Rb 3.14
O 0.5000 0.5000 0.5000  12 Rb 4.45


[16]
This record from Alexandria describes a relaxed Rb2TaCdSn crystal. The functional is PBE-GGA.

## Properties
V	227.57	Å³ per cell
N(E_F)	5.00	states/eV/cell
formation energy	1.295	eV/atom

abc: 6.3760 6.3760 5.5977
angles: 90.00 90.00 90.00
With the nearest neighbours (Å) after each atom.
Fractional coordinates of all 5 atoms:
Rb 0.0000 0.5000 0.0000  2 Cd 3.19
Rb 0.5000 0.0000 0.0000  2 Cd 3.19
Ta 0.0000 0.0000 0.5000  2 Cd 2.80
Cd 0.0000 0.0000 0.0000  2 Ta 2.80
Sn 0.5000 0.5000 0.5000  8 Rb 4.24, 4 Ta 4.51


[17]
This record from Alexandria describes a relaxed NaScSi crystal. The functional is PBE-GGA.

## Properties
V	146.05	Å³ per cell
N(E_F)	3.59	states/eV/cell
energy relative to the elements, uncorrected	-0.337	eV per atom

abc: 10.2586 10.2586 3.6334
angles: 90.00 90.00 157.55
With the nearest neighbours (Å) after each atom.
Fractional coordinates of all 6 atoms:
Na 0.1919 0.8081 0.7500  1 Si 3.03
Na 0.8081 0.1919 0.2500  1 Si 3.03
Sc 0.4346 0.5654 0.7500  6 Si 2.74-2.93
Sc 0.5654 0.4346 0.2500  6 Si 2.74-2.93
Si 0.0415 0.9585 0.7500  2 Si 2.47, 4 Sc 2.74
Si 0.9585 0.0415 0.2500  2 Si 2.47, 4 Sc 2.74


[18]
This record from Alexandria describes a relaxed BeAl2 crystal. The functional is PBE-GGA.

## Properties
V	45.15	Å³ per cell
N(E_F)	1.23	states/eV/cell
formation energy	0.063	eV/atom

abc: 3.9968 3.9968 3.9968
angles: 60.00 60.00 60.00
With the nearest neighbours (Å) after each atom.
Fractional coordinates of all 3 atoms:
Be 0.0000 0.0000 0.0000  8 Al 2.45
Al 0.2500 0.2500 0.2500  4 Be 2.45
Al 0.7500 0.7500 0.7500  4 Be 2.45


[19]
This record from Alexandria describes a relaxed CaCdP2O6 crystal. The functional is PBE-GGA.

## Properties
V	190.74	Å³ per cell
N(E_F)	0.00	states/eV/cell
energy relative to the elements, uncorrected	-1.940	eV per atom

abc: 6.8822 6.8822 6.8822
angles: 52.65 52.65 52.65
With the nearest neighbours (Å) after each atom.
Fractional coordinates of all 10 atoms:
Ca 0.0000 0.0000 0.0000  6 O 2.35
Cd 0.5000 0.5000 0.5000  12 O 3.51-3.56
P 0.2687 0.2687 0.2687  3 O 1.49
P 0.7313 0.7313 0.7313  3 O 1.49
O 0.1208 0.1300 0.5484  1 P 1.49
O 0.1300 0.5484 0.1208  1 P 1.49
O 0.4516 0.8792 0.8700  1 P 1.49
O 0.5484 0.1208 0.1300  1 P 1.49
O 0.8700 0.4516 0.8792  1 P 1.49
O 0.8792 0.8700 0.4516  1 P 1.49


[20]
This record from Alexandria describes a relaxed SrH6Rh3 crystal. The functional is PBE-GGA.

## Properties
V	90.62	Å³ per cell
N(E_F)	4.33	states/eV/cell
E_tot	-45.642	eV for the cell shown

abc: 5.0535 5.0535 5.0535
angles: 59.69 59.69 59.69
With the nearest neighbours (Å) after each atom.
Fractional coordinates of all 10 atoms:
Sr 0.0000 0.0000 0.0000  12 H 2.48-2.64
H 0.0512 0.5135 0.4923  2 Rh 1.81-1.82
H 0.1363 0.4995 0.8754  3 Rh 1.86-1.90
H 0.4923 0.0512 0.5135  2 Rh 1.81-1.82
H 0.4995 0.8754 0.1363  3 Rh 1.86-1.90
H 0.5135 0.4923 0.0512  2 Rh 1.81-1.82
H 0.8754 0.1363 0.4995  3 Rh 1.86-1.90
Rh 0.2502 0.2502 0.2502  6 H 1.82-1.86
Rh 0.4896 0.4896 0.4896  3 H 1.87
Rh 0.7552 0.7552 0.7552  6 H 1.81-1.90